1:
NaCoSnPb: optimized geometry, PBE.

Structure (POSCAR):
```
NaCoSnPb
1.0
4.3420 0.4899 2.4936
0.1611 -0.8347 4.9587
2.3463 -4.0745 1.7901
Na Pb Co Sn
1 1 1 1
Cartesian
5.1371 -3.3145 6.9318
1.7124 -1.1048 2.3106
3.4247 -2.2097 4.6212
0.0000 0.0000 0.0000
```

* density: 7.52 g/cm3

2:
NaCoSnPb: optimized geometry, PBE.

Structure (POSCAR):
```
NaCoSnPb
1.0
-4.3058 -1.7048 1.4256
-1.8200 1.3041 4.2971
-3.8291 2.9618 0.2112
Na Pb Co Sn
1 1 1 1
Cartesian
-7.4662 1.9208 4.4505
-4.9774 1.2805 2.9670
-2.4887 0.6403 1.4835
0.0000 0.0000 0.0000
```

* density: 8.42 g/cm3

2 has the most favorable energy; the next structure is 266 meV per atom above.

1:
NaCoPt: optimized geometry, PBE.

Structure (POSCAR):
```
NaCoPt
1.0
0.0000 2.9716 2.9716
2.9716 0.0000 2.9716
2.9716 2.9716 0.0000
Co Na Pt
1 1 1
Cartesian
0.0000 0.0000 0.0000
1.4858 1.4858 1.4858
4.4573 4.4573 4.4573
```

* density: 8.77 g/cm3

2:
NaCoPt: optimized geometry, PBE.

Structure (POSCAR):
```
NaCoPt
1.0
-3.9151 -0.6748 -1.5285
-3.0527 2.9031 0.6103
-1.4310 2.3055 -3.2798
Na Pt Co
1 1 1
Cartesian
0.0000 0.0000 0.0000
-6.2991 3.4004 -3.1485
-2.0997 1.1334 -1.0495
```

* density: 8.43 g/cm3

1 has the most favorable energy; the next structure is 663 meV per atom above.

1:
RbNaCoTc: optimized geometry, PBE.

Structure (POSCAR):
```
RbNaCoTc
1.0
0.0000 3.3601 3.3601
3.3601 0.0000 3.3601
3.3601 3.3601 0.0000
Rb Co Na Tc
1 1 1 1
Cartesian
3.3601 3.3601 3.3601
0.0000 0.0000 0.0000
5.0402 5.0402 5.0402
1.6800 1.6800 1.6800
```

* density: 5.81 g/cm3

2:
RbNaCoTc: optimized geometry, PBE.

Structure (POSCAR):
```
RbNaCoTc
1.0
0.0000 3.6849 3.6849
3.6849 0.0000 3.6849
3.6849 3.6849 0.0000
Na Co Tc Rb
1 1 1 1
Cartesian
5.5274 5.5274 5.5274
3.6849 3.6849 3.6849
0.0000 0.0000 0.0000
1.8425 1.8425 1.8425
```

* density: 4.40 g/cm3

3:
RbNaCoTc: optimized geometry, PBE.

Structure (POSCAR):
```
RbNaCoTc
1.0
0.0000 3.5184 3.5184
3.5184 0.0000 3.5184
3.5184 3.5184 0.0000
Na Co Tc Rb
1 1 1 1
Cartesian
5.2776 5.2776 5.2776
1.7592 1.7592 1.7592
0.0000 0.0000 0.0000
3.5184 3.5184 3.5184
```

* density: 5.06 g/cm3

3 has the most favorable energy; the next structure is 55 meV per atom above.

1:
NaScCoS3: optimized geometry, PBE.

Structure (POSCAR):
```
NaScCoS3
1.0
-3.1869 -1.7309 0.6304
3.4613 -8.0437 -4.5876
4.4803 -4.2831 10.8903
S Co Na Sc
12 4 4 4
Cartesian
0.9015 -3.2942 0.8859
4.6208 -7.5849 7.9079
1.4687 -6.1166 6.7516
-0.3671 -3.6265 4.3078
3.8532 -10.7635 6.0472
3.3159 -4.6043 9.4953
1.4388 -9.4534 -2.5622
5.1218 -10.4312 2.6253
3.8926 -7.5229 4.3966
0.1340 -6.4728 -0.9748
0.8621 -6.5348 2.5366
3.2860 -7.9411 0.1815
4.9847 -9.4505 4.6250
3.5156 -5.6788 7.5548
-0.2299 -4.6073 2.3081
1.2391 -8.3790 -0.6217
2.3660 -9.2849 2.5882
2.8728 -7.4021 10.3207
2.3887 -4.7728 4.3449
1.8819 -6.6557 -3.3876
2.0746 -5.6097 0.4586
2.6801 -8.4480 6.4745
0.3974 -1.6391 2.8825
4.3573 -12.4187 4.0506
```

* density: 3.25 g/cm3

2:
NaScCoS3: optimized geometry, PBE.

Structure (POSCAR):
```
NaScCoS3
1.0
7.7764 0.0000 0.0000
0.0000 3.6778 0.0000
-2.3723 0.0000 8.4408
S Co Sc Na
6 2 2 2
Cartesian
3.8084 2.7584 2.9764
-0.3721 2.7584 2.8772
5.3771 0.9195 0.3026
5.7762 0.9195 5.5636
1.5957 0.9195 5.4644
0.0270 2.7584 8.1383
4.3094 2.7584 0.7818
1.0946 0.9195 7.6590
-0.1883 2.7584 5.4168
5.5924 0.9195 3.0241
1.6911 0.9195 2.3551
3.7129 2.7584 6.0857
```

* density: 3.07 g/cm3

2 has the most favorable energy; the next structure is 40 meV per atom above.

1:
NaScCoSb: optimized geometry, PBE.

Structure (POSCAR):
```
NaScCoSb
1.0
2.7856 -3.4992 -1.6585
-1.9371 -3.7040 -2.2986
0.6584 -0.5006 -4.6980
Sc Co Na Sb
1 1 1 1
Cartesian
0.3767 -1.9259 -2.1638
0.0000 0.0000 0.0000
1.1302 -5.7778 -6.4913
0.7535 -3.8519 -4.3276
```

* density: 5.38 g/cm3

2:
NaScCoSb: optimized geometry, PBE.

Structure (POSCAR):
```
NaScCoSb
1.0
0.0000 3.2515 3.2515
3.2515 0.0000 3.2515
3.2515 3.2515 0.0000
Co Sc Na Sb
1 1 1 1
Cartesian
1.6257 1.6257 1.6257
0.0000 0.0000 0.0000
4.8772 4.8772 4.8772
3.2515 3.2515 3.2515
```

* density: 6.01 g/cm3

2 has the most favorable energy; the next structure is 163 meV per atom above.

1:
NaScCoSe3: optimized geometry, PBE.

Structure (POSCAR):
```
NaScCoSe3
1.0
8.0673 0.0000 0.0000
0.0000 3.8030 0.0000
-2.6985 0.0000 8.8237
Sc Se Co Na
2 6 2 2
Cartesian
5.7100 0.9507 3.1428
-0.3412 2.8522 5.6808
-0.4410 2.8522 2.9980
1.5577 0.9507 5.6933
3.8111 2.8522 3.1304
-0.3367 2.8522 8.5054
5.7056 0.9507 0.3183
5.8098 0.9507 5.8257
4.4024 2.8522 0.8269
0.9664 0.9507 7.9968
3.6968 2.8522 6.5430
1.6720 0.9507 2.2807
```

* density: 4.46 g/cm3

2:
NaScCoSe3: optimized geometry, PBE.

Structure (POSCAR):
```
NaScCoSe3
1.0
1.0146 5.8772 3.7662
-2.7413 5.6264 3.2533
-0.8156 -5.3683 8.5969
Se Na Co Sc
6 2 2 2
Cartesian
-1.8540 2.2583 12.4715
-1.5532 4.2378 9.3014
-0.9891 1.8975 6.3150
-0.6884 3.8770 3.1449
-2.2012 6.5628 12.9091
-0.3412 -0.4276 2.7073
-1.5119 7.3717 7.4664
-1.0304 -1.2364 8.1500
-1.0216 4.1054 5.4733
-1.5207 2.0299 10.1431
-0.4078 -2.6841 4.2985
0.0000 0.0000 0.0000
```

* density: 4.60 g/cm3

1 has the most favorable energy; the next structure is 25 meV per atom above.

1:
NaZrCoSe3: optimized geometry, PBE.

Structure (POSCAR):
```
NaZrCoSe3
1.0
-4.8100 3.8659 -3.8097
2.5813 -2.3804 6.3456
5.8904 7.8811 0.5603
Se Na Co Zr
6 2 2 2
Cartesian
-1.6860 2.1371 -0.0512
6.3834 4.0507 5.9198
-2.7217 5.3158 -2.8237
3.2373 4.4060 2.9466
0.4244 4.9606 0.1495
5.3476 7.2295 3.1474
1.4249 8.2411 -0.8928
2.2368 1.1255 3.9890
3.4610 6.5204 1.9047
0.2006 2.8462 1.1915
0.0000 0.0000 0.0000
2.9452 3.9405 0.2802
```

* density: 5.34 g/cm3

2:
NaZrCoSe3: optimized geometry, PBE.

Structure (POSCAR):
```
NaZrCoSe3
1.0
10.0032 0.0000 0.0000
0.0000 3.7435 0.0000
0.0000 0.0000 13.7945
Se Na Zr Co
12 4 4 4
Cartesian
4.5353 2.8076 8.5260
0.8307 2.8076 8.4562
7.7059 0.9359 9.1997
5.8323 2.8076 12.2356
2.7043 0.9359 11.4921
9.5369 2.8076 12.1658
5.4678 0.9359 5.2685
9.1725 0.9359 5.3383
0.4663 0.9359 1.6288
4.1709 0.9359 1.5590
2.2973 2.8076 4.5949
7.2989 2.8076 2.3024
2.2736 2.8076 0.0757
7.2752 2.8076 6.8216
2.7280 0.9359 6.9730
7.7296 0.9359 13.7188
9.7673 2.8076 3.4833
0.2359 0.9359 10.3113
4.7657 2.8076 3.4140
5.2375 0.9359 10.3805
2.6580 2.8076 9.9891
7.3452 0.9359 3.8055
2.3436 0.9359 3.0918
7.6596 2.8076 10.7027
```

* density: 5.27 g/cm3

2 has the most favorable energy; the next structure is 7 meV per atom above.

1:
NaCoSiSn: optimized geometry, PBE.

Structure (POSCAR):
```
NaCoSiSn
1.0
-2.9740 -2.8981 -1.7132
-2.9822 -2.0116 2.6905
-4.3452 1.1151 -0.2326
Na Co Si Sn
1 1 1 1
Cartesian
-7.7260 -2.8459 0.5585
-2.5753 -0.9486 0.1862
-5.1507 -1.8973 0.3723
0.0000 0.0000 0.0000
```

* density: 5.93 g/cm3

2:
NaCoSiSn: optimized geometry, PBE.

Structure (POSCAR):
```
NaCoSiSn
1.0
0.0000 3.2680 3.2680
3.2680 0.0000 3.2680
3.2680 3.2680 0.0000
Co Sn Na Si
1 1 1 1
Cartesian
3.2679 3.2679 3.2679
0.0000 0.0000 0.0000
4.9019 4.9019 4.9019
1.6340 1.6340 1.6340
```

* density: 5.44 g/cm3

3:
NaCoSiSn: optimized geometry, PBE.

Structure (POSCAR):
```
NaCoSiSn
1.0
-3.9275 -2.2589 0.8599
-2.7003 1.3191 3.4980
-4.0566 2.0207 -0.8535
Co Si Na Sn
1 1 1 1
Cartesian
0.0000 0.0000 0.0000
-5.3422 0.5404 1.7522
-8.0133 0.8106 2.6283
-2.6711 0.2702 0.8761
```

* density: 5.48 g/cm3

1 has the most favorable energy; the next structure is 255 meV per atom above.

1:
NaYCoTe3: optimized geometry, PBE.

Structure (POSCAR):
```
NaYCoTe3
1.0
7.4868 -2.0707 0.0000
7.4868 2.0707 0.0000
0.0000 0.0000 11.1450
Na Co Te Y
2 2 6 2
Cartesian
11.3348 0.0000 2.7862
3.6389 0.0000 8.3588
7.1683 0.0000 2.7862
7.8054 0.0000 8.3588
5.4418 0.0000 4.7013
9.5319 0.0000 10.2738
5.4418 0.0000 0.8712
13.7099 0.0000 8.3588
1.2639 0.0000 2.7862
9.5319 0.0000 6.4437
0.0000 0.0000 5.5725
0.0000 0.0000 0.0000
```

* density: 5.32 g/cm3

2:
NaYCoTe3: optimized geometry, PBE.

Structure (POSCAR):
```
NaYCoTe3
1.0
11.9496 0.0000 0.0000
0.0000 4.2804 0.0000
0.0000 0.0000 12.8414
Te Co Y Na
12 4 4 4
Cartesian
10.7295 2.1402 7.3141
8.5208 2.1402 4.0038
9.4037 0.0000 10.4244
11.3176 0.0000 1.7110
2.5460 2.1402 2.4169
7.1949 0.0000 0.8934
3.4288 0.0000 8.8376
1.2201 0.0000 5.5273
4.7547 2.1402 11.9479
5.3427 0.0000 4.7097
0.6321 2.1402 11.1304
6.6069 2.1402 8.1317
2.9584 2.1402 10.0979
8.9332 2.1402 9.1641
3.0164 0.0000 3.6772
8.9912 0.0000 2.7435
5.6616 2.1402 2.5337
0.3132 0.0000 8.9543
11.6364 2.1402 3.8870
6.2880 0.0000 10.3077
3.5890 2.1402 6.3051
9.5638 2.1402 0.1156
2.3858 0.0000 12.7257
8.3606 0.0000 6.5363
```

* density: 5.60 g/cm3

1 has the most favorable energy; the next structure is 35 meV per atom above.

1:
NaYCo: optimized geometry, PBE.

Structure (POSCAR):
```
NaYCo
1.0
0.0000 3.2625 3.2625
3.2625 0.0000 3.2625
3.2625 3.2625 0.0000
Na Y Co
1 1 1
Cartesian
1.6312 1.6312 1.6312
4.8937 4.8937 4.8937
0.0000 0.0000 0.0000
```

* density: 4.08 g/cm3

2:
NaYCo: optimized geometry, PBE.

Structure (POSCAR):
```
NaYCo
1.0
3.2967 -2.2371 2.4563
-0.5903 -4.4968 1.1559
2.6062 -3.3043 -2.0482
Co Y Na
1 1 1
Cartesian
1.3281 -2.5096 0.3910
0.0000 0.0000 0.0000
3.9844 -7.5287 1.1730
```

* density: 3.91 g/cm3

1 has the most favorable energy; the next structure is 391 meV per atom above.

1:
NdNbCo: optimized geometry, PBE.

Structure (POSCAR):
```
NdNbCo
1.0
0.0000 3.1672 3.1672
3.1672 0.0000 3.1672
3.1672 3.1672 0.0000
Co Nb Nd
1 1 1
Cartesian
1.5836 1.5836 1.5836
0.0000 0.0000 0.0000
4.7508 4.7508 4.7508
```

* density: 7.74 g/cm3

2:
NdNbCo: optimized geometry, PBE.

Structure (POSCAR):
```
NdNbCo
1.0
0.5297 -0.2621 4.4345
2.0680 3.2981 2.2046
-2.3381 2.6985 2.6954
Co Nb Nd
1 1 1
Cartesian
0.0649 1.4336 2.3336
0.1947 4.3009 7.0009
0.0000 0.0000 0.0000
```

* density: 7.77 g/cm3

1 has the most favorable energy; the next structure is 532 meV per atom above.